First-principles (PBE) data for an optimized crystal structure of Sr3LiLa2S6, as listed in Alexandria.

Properties
energy: -5.481 eV per atom
calculated density: 3.939 g/cm3
V: 26.00 Å³/atom
DOS at the Fermi energy: 3.7 states/eV per cell

```
data_Sr3LiLa2S6
_chemical_formula_sum 'Sr3 Li1 La2 S6'
_symmetry_space_group_name_H-M 'P 1'
_symmetry_Int_Tables_number 1
_cell_length_a 7.2465
_cell_length_b 7.2465
_cell_length_c 7.2716
_cell_angle_alpha 99.54
_cell_angle_beta 99.54
_cell_angle_gamma 120.00
loop_
_symmetry_equiv_pos_as_xyz
'x,y,z'
loop_
_atom_site_label
_atom_site_type_symbol
_atom_site_fract_x
_atom_site_fract_y
_atom_site_fract_z
_atom_site_occupancy
Sr1 Sr 0.0000 0.0000 0.0000 1
Sr2 Sr 0.3353 0.6647 0.0000 1
Sr3 Sr 0.6647 0.3353 0.0000 1
Li1 Li 0.5000 0.5000 0.5000 1
La1 La 0.1670 0.8330 0.5000 1
La2 La 0.8330 0.1670 0.5000 1
S1 S 0.0864 0.4199 0.2602 1
S2 S 0.2463 0.2463 0.7381 1
S3 S 0.4199 0.0864 0.2602 1
S4 S 0.5801 0.9136 0.7398 1
S5 S 0.7537 0.7537 0.2619 1
S6 S 0.9136 0.5801 0.7398 1
```



First-principles (PBE) data for an optimized crystal structure of SrLa2As, as listed in Alexandria.

Properties
energy: -4.604 eV per atom
calculated density: 4.967 g/cm3
V: 36.81 Å³/atom
DOS at the Fermi energy: 5.6 states/eV per cell

```
data_SrLa2As
_chemical_formula_sum 'Sr1 La2 As1'
_symmetry_space_group_name_H-M 'P 1'
_symmetry_Int_Tables_number 1
_cell_length_a 3.8386
_cell_length_b 3.8386
_cell_length_c 9.9915
_cell_angle_alpha 90.00
_cell_angle_beta 90.00
_cell_angle_gamma 90.00
loop_
_symmetry_equiv_pos_as_xyz
'x,y,z'
loop_
_atom_site_label
_atom_site_type_symbol
_atom_site_fract_x
_atom_site_fract_y
_atom_site_fract_z
_atom_site_occupancy
Sr1 Sr 0.0000 0.0000 0.0000 1
La1 La 0.5000 0.5000 0.3375 1
La2 La 0.5000 0.5000 0.6625 1
As1 As 0.0000 0.0000 0.5000 1
```



First-principles (PBE) data for an optimized crystal structure of Mg3Si4, as listed in Alexandria.

Properties
energy: -3.657 eV per atom
calculated density: 2.259 g/cm3
V: 19.45 Å³/atom
DOS at the Fermi energy: 3.0 states/eV per cell

```
data_Mg3Si4
_chemical_formula_sum 'Mg6 Si8'
_symmetry_space_group_name_H-M 'P 1'
_symmetry_Int_Tables_number 1
_cell_length_a 4.7552
_cell_length_b 7.0088
_cell_length_c 8.7161
_cell_angle_alpha 91.97
_cell_angle_beta 97.75
_cell_angle_gamma 108.31
loop_
_symmetry_equiv_pos_as_xyz
'x,y,z'
loop_
_atom_site_label
_atom_site_type_symbol
_atom_site_fract_x
_atom_site_fract_y
_atom_site_fract_z
_atom_site_occupancy
Mg1 Mg 0.0000 0.0000 0.0000 1
Mg2 Mg 0.0252 0.3831 0.1596 1
Mg3 Mg 0.4420 0.1177 0.7482 1
Mg4 Mg 0.6828 0.6272 0.2522 1
Mg5 Mg 0.7812 0.5959 0.8194 1
Mg6 Mg 0.9593 0.0682 0.4104 1
Si1 Si 0.0843 0.4271 0.6012 1
Si2 Si 0.2089 0.4096 0.8794 1
Si3 Si 0.2581 0.8121 0.2714 1
Si4 Si 0.4040 0.7716 0.0084 1
Si5 Si 0.4521 0.7046 0.5154 1
Si6 Si 0.4745 0.1905 0.2466 1
Si7 Si 0.5568 0.3757 0.4981 1
Si8 Si 0.8363 0.9448 0.6847 1
```



First-principles (PBE) data for an optimized crystal structure of Ge2PtICl, as listed in Alexandria.

Properties
energy: -2.681 eV per atom
calculated density: 5.823 g/cm3
V: 28.67 Å³/atom
DOS at the Fermi energy: 2.8 states/eV per cell

```
data_Ge2PtICl
_chemical_formula_sum 'Ge2 Pt1 I1 Cl1'
_symmetry_space_group_name_H-M 'P 1'
_symmetry_Int_Tables_number 1
_cell_length_a 4.7777
_cell_length_b 4.7777
_cell_length_c 6.2808
_cell_angle_alpha 90.00
_cell_angle_beta 90.00
_cell_angle_gamma 90.00
loop_
_symmetry_equiv_pos_as_xyz
'x,y,z'
loop_
_atom_site_label
_atom_site_type_symbol
_atom_site_fract_x
_atom_site_fract_y
_atom_site_fract_z
_atom_site_occupancy
Ge1 Ge 0.0000 0.5000 0.0000 1
Ge2 Ge 0.5000 0.0000 0.0000 1
Pt1 Pt 0.0000 0.0000 0.5000 1
I1 I 0.5000 0.5000 0.5000 1
Cl1 Cl 0.5000 0.5000 0.0000 1
```



First-principles (PBE) data for an optimized crystal structure of SmScInGa, as listed in Alexandria.

Properties
energy: -4.677 eV per atom
calculated density: 6.673 g/cm3
V: 23.63 Å³/atom
DOS at the Fermi energy: 1.5 states/eV per cell

```
data_SmScInGa
_chemical_formula_sum 'Sm1 Sc1 In1 Ga1'
_symmetry_space_group_name_H-M 'P 1'
_symmetry_Int_Tables_number 1
_cell_length_a 5.1132
_cell_length_b 5.1132
_cell_length_c 5.1132
_cell_angle_alpha 60.00
_cell_angle_beta 60.00
_cell_angle_gamma 60.00
loop_
_symmetry_equiv_pos_as_xyz
'x,y,z'
loop_
_atom_site_label
_atom_site_type_symbol
_atom_site_fract_x
_atom_site_fract_y
_atom_site_fract_z
_atom_site_occupancy
Sm1 Sm 0.0000 0.0000 0.0000 1
Sc1 Sc 0.5000 0.5000 0.5000 1
In1 In 0.2500 0.2500 0.2500 1
Ga1 Ga 0.7500 0.7500 0.7500 1
```



First-principles (PBE) data for an optimized crystal structure of RbSbPd2Pb2, as listed in Alexandria.

Properties
energy: -4.035 eV per atom
calculated density: 7.254 g/cm3
V: 31.84 Å³/atom
DOS at the Fermi energy: 2.8 states/eV per cell

```
data_RbSbPd2Pb2
_chemical_formula_sum 'Rb1 Sb1 Pd2 Pb2'
_symmetry_space_group_name_H-M 'P 1'
_symmetry_Int_Tables_number 1
_cell_length_a 5.0955
_cell_length_b 5.0955
_cell_length_c 7.3575
_cell_angle_alpha 90.00
_cell_angle_beta 90.00
_cell_angle_gamma 90.00
loop_
_symmetry_equiv_pos_as_xyz
'x,y,z'
loop_
_atom_site_label
_atom_site_type_symbol
_atom_site_fract_x
_atom_site_fract_y
_atom_site_fract_z
_atom_site_occupancy
Rb1 Rb 0.0000 0.0000 0.0000 1
Sb1 Sb 0.0000 0.0000 0.5000 1
Pd1 Pd 0.0000 0.5000 0.5000 1
Pd2 Pd 0.5000 0.0000 0.5000 1
Pb1 Pb 0.5000 0.5000 0.2764 1
Pb2 Pb 0.5000 0.5000 0.7236 1
```